1.
PrSm2Zn5 | Alexandria via LeMat-Bulk | PBE | optimized geometry; symmetry = No. 139; energy relative to the elements = -0.2901 eV/atom; N(E_F) = 3.97 states/eV/cell
1.0
4.9356 0.0000 0.0000
0.0000 4.9356 0.0000
-2.4678 -2.4678 7.2644
Sm Zn Pr
2 5 1
Direct
0.7298 0.7298 0.4597
0.2702 0.2702 0.5403
0.1164 0.6164 0.2328
0.5000 0.5000 0.0000
0.6164 0.1164 0.2328
0.8836 0.3836 0.7672
0.3836 0.8836 0.7672
0.0000 0.0000 0.0000

2.
ScCu3Sn | Alexandria via LeMat-Bulk | PBE | optimized geometry; symmetry = No. 221; energy relative to the elements = 0.5367 eV/atom; offset from the most stable computed form = 0.0 kJ/mol of atoms; N(E_F) = 5.28 states/eV/cell
1.0
-1.1330 -4.5380 0.7670
1.4837 -1.1078 -4.3631
4.3566 -0.8029 1.6854
Cu Sc Sn
3 1 1
Direct
0.0000 0.0000 0.5000
0.0000 0.5000 0.0000
0.5000 0.0000 0.0000
0.5000 0.5000 0.5000
0.0000 0.0000 0.0000

3.
LiY2AlC | Alexandria via LeMat-Bulk | PBE | optimized geometry; symmetry = No. 123; energy relative to the elements = -0.1412 eV/atom; offset from the most stable computed form = 0.0 kJ/mol of atoms; N(E_F) = 4.62 states/eV/cell
1.0
-4.2714 -0.1374 2.6049
-0.7038 -4.7519 -1.4048
2.0237 -1.2611 3.2520
Y Li C Al
2 1 1 1
Direct
0.5000 0.0000 0.0000
0.0000 0.5000 0.0000
0.5000 0.5000 0.5000
0.0000 0.0000 0.0000
0.0000 0.0000 0.5000